Record 1
NbCoPd PBE-GGA relaxed; E_tot = -7.071 eV/atom; SG = No. 216; offset from the most stable computed form = 179 meV per atom; ΔE_f = 388 meV/atom
1.0
0.000 2.955 2.955
2.955 0.000 2.955
2.955 2.955 0.000
Nb Co Pd
1 1 1
Cartesian
0.000 0.000 0.000
1.477 1.477 1.477
4.432 4.432 4.432

***

Record 2
Cu2Ag PBE-GGA relaxed; E_tot = -3.332 eV/atom; SG = No. 12; offset from the most stable computed form = 41 meV per atom; ΔE_f = 87 meV/atom
1.0
6.910 -1.373 0.000
6.910 1.373 0.000
-0.335 0.000 6.601
Cu Ag
6 3
Cartesian
0.588 0.000 2.288
1.989 0.000 6.490
5.323 0.000 2.219
8.161 0.000 4.381
11.496 0.000 0.111
12.897 0.000 4.313
3.672 0.000 4.470
6.910 0.000 0.000
9.812 0.000 2.130

***

Record 3
HfAl3 PBE-GGA relaxed; E_tot = -5.666 eV/atom; SG = No. 221
1.0
4.088 0.000 0.000
0.000 4.088 0.000
0.000 0.000 4.088
Hf Al
1 3
Cartesian
0.000 0.000 0.000
0.000 2.044 2.044
2.044 0.000 2.044
2.044 2.044 0.000

***

Record 4
Fe2CoPdN PBE-GGA relaxed; E_tot = -7.547 eV/atom; SG = No. 123
1.0
3.857 0.000 0.000
0.000 3.857 0.000
0.000 0.000 3.782
Fe Co Pd N
2 1 1 1
Cartesian
0.000 1.928 0.000
1.928 0.000 0.000
0.000 0.000 1.891
1.928 1.928 1.891
0.000 0.000 0.000

***

Record 5
BaHgSeO PBE-GGA relaxed; E_tot = -3.884 eV/atom; SG = No. 19
1.0
6.751 0.000 0.000
0.000 8.215 0.000
0.000 0.000 8.314
Ba Hg Se O
4 4 4 4
Cartesian
1.383 0.715 4.036
1.993 7.500 8.193
4.758 3.393 4.278
5.368 4.822 0.121
1.022 5.498 3.072
2.354 2.717 7.229
4.397 6.824 5.241
5.729 1.390 1.084
0.424 5.744 5.497
2.951 2.471 1.340
3.799 6.578 2.817
6.326 1.637 6.974
0.695 5.743 1.042
2.680 2.472 5.198
4.070 6.579 7.272
6.056 1.635 3.115

***

Record 6
La2MgAl3Pt2 PBE-GGA relaxed; E_tot = -5.212 eV/atom; SG = No. 8
1.0
5.388 -2.170 0.000
5.388 2.170 0.000
-0.014 0.000 7.401
La Mg Al Pt
2 1 3 2
Cartesian
0.000 0.000 0.000
1.328 0.000 3.785
4.372 0.000 2.321
4.308 0.000 5.215
7.761 0.000 1.502
7.746 0.000 6.076
2.976 0.000 0.011
9.036 0.000 3.848

***

Record 7
K2DyHo2Mg3Cd PBE-GGA relaxed; E_tot = -1.952 eV/atom; SG = No. 38
1.0
4.891 0.000 0.000
0.000 7.100 4.090
0.000 -7.100 4.090
K Dy Ho Mg Cd
2 1 2 3 1
Cartesian
0.000 -4.730 4.090
0.000 4.730 4.090
2.445 0.000 7.152
2.445 -2.667 2.556
2.445 2.667 2.556
0.000 0.000 2.314
0.000 -1.532 4.968
0.000 1.532 4.968
2.445 0.000 4.073

***

Record 8
LuHfMg PBE-GGA relaxed; E_tot = -4.585 eV/atom; SG = No. 216; offset from the most stable computed form = 0 meV per atom
1.0
0.000 3.456 3.456
3.456 0.000 3.456
3.456 3.456 0.000
Lu Hf Mg
1 1 1
Cartesian
0.000 0.000 0.000
3.456 3.456 3.456
5.184 5.184 5.184